! CsCr2InO8 PBE with a Hubbard U relaxed; values from VASP
&SYSTEM
  ibrav = 0, nat = 12, ntyp = 4
/
ATOMIC_SPECIES
O 16.00 O.upf
Cs 132.91 Cs.upf
Cr 52.00 Cr.upf
In 114.82 In.upf
CELL_PARAMETERS angstrom
5.428 -0.056 0.093
2.454 4.842 0.093
0.513 0.312 8.716
ATOMIC_POSITIONS angstrom
O 2.314 1.405 8.200
O 2.851 1.731 5.555
Cs 0.257 0.156 4.358
Cr 3.353 2.036 7.072
O 3.447 3.713 7.265
O 3.511 3.752 1.635
Cr 5.042 3.062 1.829
O 4.949 1.384 1.635
O 4.884 1.345 7.265
O 6.081 3.692 0.700
O 5.544 3.366 3.346
In 0.000 0.000 0.000
! - E_tot: -6.2988 eV per atom